Entry 1:
Below is an optimized crystal structure of LaPr2Nd, with properties calculated at the GGA-PBE level.

abc: 13.107 13.107 13.107
angles: 15.81 15.81 15.81
Atoms (fractional coordinates):
La1 0.000 0.000 0.000
Pr1 0.089 0.089 0.089
Pr2 0.911 0.911 0.911
Nd1 0.500 0.500 0.500

Values from the calculation:
ΔE to the lowest computed polymorph	0.119	eV per atom
total DFT energy (no corrections)	-4.685	eV/atom
ΔE_f	128.9	meV/atom

=====

Entry 2:
Below is an optimized crystal structure of La8PrNd3, with properties calculated at the GGA-PBE level.

abc: 8.929 8.929 8.929
angles: 135.20 100.17 96.54
Atoms (fractional coordinates):
La1 0.082 0.250 0.832
La2 0.271 0.225 0.496
La3 0.271 0.775 0.047
La4 0.418 0.250 0.168
La5 0.582 0.750 0.832
La6 0.729 0.225 0.953
La7 0.729 0.775 0.504
La8 0.918 0.750 0.168
Pr1 0.000 0.000 0.000
Nd1 0.263 0.763 0.500
Nd2 0.500 0.500 0.000
Nd3 0.737 0.237 0.500

Values from the calculation:
total DFT energy (no corrections)	-4.601	eV/atom
ΔE_f	274.0	meV/atom

=====

Entry 3:
Below is an optimized crystal structure of La5Pr2Nd, with properties calculated at the GGA-PBE level.

abc: 6.773 6.773 16.843
angles: 90.00 90.00 129.63
Atoms (fractional coordinates):
La1 0.034 0.966 0.750
La2 0.117 0.883 0.051
La3 0.117 0.883 0.449
La4 0.425 0.575 0.094
La5 0.425 0.575 0.406
La6 0.575 0.425 0.594
La7 0.575 0.425 0.906
La8 0.883 0.117 0.551
La9 0.883 0.117 0.949
La10 0.966 0.034 0.250
Pr1 0.274 0.726 0.632
Pr2 0.274 0.726 0.868
Pr3 0.726 0.274 0.132
Pr4 0.726 0.274 0.368
Nd1 0.248 0.752 0.250
Nd2 0.752 0.248 0.750

Values from the calculation:
total DFT energy (no corrections)	-4.772	eV/atom
ΔE_f	98.9	meV/atom

=====

Entry 4:
Below is an optimized crystal structure of La5PrNd, with properties calculated at the GGA-PBE level.

abc: 7.091 7.091 11.888
angles: 90.04 90.04 59.39
Atoms (fractional coordinates):
La1 0.139 0.302 0.750
La2 0.249 0.751 0.750
La3 0.302 0.139 0.250
La4 0.349 0.349 0.000
La5 0.349 0.349 0.500
La6 0.651 0.651 0.000
La7 0.651 0.651 0.500
La8 0.698 0.861 0.750
La9 0.751 0.249 0.250
La10 0.861 0.698 0.250
Pr1 0.000 0.000 0.000
Pr2 0.000 0.000 0.500
Nd1 0.312 0.688 0.250
Nd2 0.688 0.312 0.750

Values from the calculation:
ΔE to the lowest computed polymorph	0.008	eV per atom
total DFT energy (no corrections)	-4.759	eV/atom
ΔE_f	124.8	meV/atom

=====

Entry 5:
Below is an optimized crystal structure of La5Pr8Nd, with properties calculated at the GGA-PBE level.

abc: 8.754 8.754 8.754
angles: 111.25 111.25 105.97
Atoms (fractional coordinates):
La1 0.000 0.000 0.000
La2 0.319 0.215 0.681
La3 0.362 0.681 0.896
La4 0.534 0.638 0.319
La5 0.785 0.466 0.104
Pr1 0.031 0.778 0.601
Pr2 0.059 0.317 0.891
Pr3 0.177 0.430 0.399
Pr4 0.222 0.823 0.253
Pr5 0.426 0.167 0.109
Pr6 0.570 0.969 0.747
Pr7 0.683 0.574 0.741
Pr8 0.833 0.941 0.259
Nd1 0.750 0.250 0.500

Values from the calculation:
total DFT energy (no corrections)	-4.630	eV/atom
ΔE_f	201.8	meV/atom

=====

Entry 6:
Below is an optimized crystal structure of LaPr5Nd6, with properties calculated at the GGA-PBE level.

abc: 6.424 6.424 12.267
angles: 95.04 95.04 120.00
Atoms (fractional coordinates):
La1 0.000 0.000 0.000
Pr1 0.167 0.833 0.500
Pr2 0.333 0.667 0.000
Pr3 0.500 0.500 0.500
Pr4 0.667 0.333 0.000
Pr5 0.833 0.167 0.500
Nd1 0.084 0.417 0.250
Nd2 0.250 0.250 0.749
Nd3 0.417 0.084 0.250
Nd4 0.583 0.916 0.750
Nd5 0.750 0.750 0.251
Nd6 0.916 0.583 0.750

Values from the calculation:
ΔE to the lowest computed polymorph	0.000	eV per atom
total DFT energy (no corrections)	-4.774	eV/atom
ΔE_f	12.1	meV/atom